1.
# Sc3Pt2Pb (PBE, optimized geometry)
data_Sc3Pt2Pb
_chemical_formula_sum 'Sc3 Pt2 Pb1'
_cell_length_a 3.306
_cell_length_b 3.306
_cell_length_c 11.178
_cell_angle_alpha 90.00
_cell_angle_beta 90.00
_cell_angle_gamma 90.00
_symmetry_space_group_name_H-M 'P 4/m m m'
_symmetry_Int_Tables_number 123
_symmetry_space_group_name_Hall '-P 4 2'
loop_
_atom_site_label
_atom_site_fract_x
_atom_site_fract_y
_atom_site_fract_z
Sc1 0.000 0.000 0.000
Sc2 0.000 0.000 0.292
Pt1 0.500 0.500 0.148
Pb1 0.500 0.500 0.500
# formation energy from the elements = -5.62 eV per formula unit

=====

2.
# Sc3PtPb (PBE, optimized geometry)
data_Sc3PtPb
_chemical_formula_sum 'Sc3 Pt1 Pb1'
_cell_length_a 5.287
_cell_length_b 5.287
_cell_length_c 5.287
_cell_angle_alpha 90.00
_cell_angle_beta 90.00
_cell_angle_gamma 90.00
_symmetry_space_group_name_H-M 'P m -3 m'
_symmetry_Int_Tables_number 221
_symmetry_space_group_name_Hall '-P 4 2 3'
loop_
_atom_site_label
_atom_site_fract_x
_atom_site_fract_y
_atom_site_fract_z
Sc1 0.000 0.000 0.500
Pt1 0.500 0.500 0.500
Pb1 0.000 0.000 0.000
# distance to the lowest polymorph of the same formula = 1084 meV/atom
# formation energy from the elements = 3.18 eV per formula unit

=====

3.
# Sc11Pt4Pb9 (PBE, optimized geometry)
data_Sc11Pt4Pb9
_chemical_formula_sum 'Sc22 Pt8 Pb18'
_cell_length_a 14.566
_cell_length_b 21.428
_cell_length_c 3.521
_cell_angle_alpha 90.00
_cell_angle_beta 90.00
_cell_angle_gamma 90.00
_symmetry_space_group_name_H-M 'C m m m'
_symmetry_Int_Tables_number 65
_symmetry_space_group_name_Hall '-C 2 2'
loop_
_atom_site_label
_atom_site_fract_x
_atom_site_fract_y
_atom_site_fract_z
Sc1 0.000 0.000 0.000
Sc2 0.000 0.156 0.000
Sc3 0.000 0.372 0.000
Sc4 0.186 0.500 0.000
Sc5 0.247 0.332 0.000
Pt1 0.148 0.399 0.500
Pb1 0.000 0.500 0.500
Pb2 0.113 0.253 0.500
Pb3 0.141 0.076 0.500
# formation energy from the elements = -14.75 eV per formula unit

=====

4.
# Sc3PtPb2 (PBE, optimized geometry)
data_Sc3PtPb2
_chemical_formula_sum 'Sc12 Pt4 Pb8'
_cell_length_a 12.531
_cell_length_b 4.330
_cell_length_c 10.366
_cell_angle_alpha 90.00
_cell_angle_beta 90.00
_cell_angle_gamma 90.00
_symmetry_space_group_name_H-M 'P n m a'
_symmetry_Int_Tables_number 62
_symmetry_space_group_name_Hall '-P 2ac 2n'
loop_
_atom_site_label
_atom_site_fract_x
_atom_site_fract_y
_atom_site_fract_z
Sc1 0.076 0.250 0.081
Sc2 0.106 0.750 0.546
Sc3 0.218 0.750 0.274
Pt1 0.093 0.250 0.348
Pb1 0.040 0.250 0.756
Pb2 0.209 0.750 0.975
# formation energy from the elements = -3.59 eV per formula unit

=====

5.
# ScPt2Pb (PBE, optimized geometry)
data_ScPt2Pb
_chemical_formula_sum 'Sc1 Pt2 Pb1'
_cell_length_a 3.658
_cell_length_b 3.658
_cell_length_c 5.932
_cell_angle_alpha 90.00
_cell_angle_beta 90.00
_cell_angle_gamma 90.00
_symmetry_space_group_name_H-M 'P 4 m m'
_symmetry_Int_Tables_number 99
_symmetry_space_group_name_Hall 'P 4 -2'
loop_
_atom_site_label
_atom_site_fract_x
_atom_site_fract_y
_atom_site_fract_z
Sc1 0.000 0.000 0.000
Pt1 0.000 0.000 0.544
Pt2 0.500 0.500 0.834
Pb1 0.500 0.500 0.343
# formation energy from the elements = -2.26 eV per formula unit

=====

6.
# Sc5Pt2Pb2 (PBE, optimized geometry)
data_Sc5Pt2Pb2
_chemical_formula_sum 'Sc20 Pt8 Pb8'
_cell_length_a 14.642
_cell_length_b 8.087
_cell_length_c 6.950
_cell_angle_alpha 90.00
_cell_angle_beta 90.00
_cell_angle_gamma 90.00
_symmetry_space_group_name_H-M 'C m c e'
_symmetry_Int_Tables_number 64
_symmetry_space_group_name_Hall '-C 2ac 2'
loop_
_atom_site_label
_atom_site_fract_x
_atom_site_fract_y
_atom_site_fract_z
Sc1 0.000 0.000 0.000
Sc2 0.117 0.177 0.347
Pt1 0.000 0.130 0.640
Pb1 0.215 0.000 0.000
# formation energy from the elements = -7.02 eV per formula unit